First-principles (PBE) data for SmTmSc after structural relaxation, as listed in Alexandria via LeMat-Bulk.

For the calculated total energy, the calculation gives -30.42 eV/cell. Its crystal system is monoclinic.

The structure belongs to space group P2_1/m (No. 11); the cell edges are 3.4036, 5.1240 and 10.2208 Å and the angles 90.00°, 99.45° and 90.00°. Symmetry generates all atoms from Sm at (0.0426, 0.2500, 0.0951), Tm at (0.3772, 0.2500, 0.7435) and Sc at (0.2062, 0.2500, 0.4194).


First-principles (PBE) data for Y4Er3Th5 after structural relaxation, as listed in Alexandria via LeMat-Bulk.

For the calculated total energy, the calculation gives -146.63 eV/cell. Its crystal system is monoclinic.

The structure belongs to space group C2/m (No. 12); the cell edges are 15.9320, 5.9639 and 9.3247 Å and the angles 90.00°, 116.60° and 90.00°. Symmetry generates all atoms from Y at (0.2077, 0.0000, 0.3703), Y at (0.2100, 0.0000, 0.7301), Er at (0.0000, 0.0000, 0.5000), Er at (0.0713, 0.5000, 0.1927), Th at (0.0000, 0.5000, 0.5000), Th at (0.0830, 0.0000, 0.9396) and Th at (0.1710, 0.5000, 0.8836).


First-principles (PBE) data for YNbTeAu2 after structural relaxation, as listed in Alexandria via LeMat-Bulk.

Its crystal system is tetragonal. For the uncorrected formation energy, the calculation gives 2.9 eV/f.u.

The structure belongs to space group P4/mmm (No. 123); the cell edges are 5.0408, 5.0408 and 5.8520 Å and the angles 90.00°, 90.00° and 90.00°. Symmetry generates all atoms from Y at (0.0000, 0.0000, 0.0000), Nb at (0.0000, 0.0000, 0.5000), Te at (0.5000, 0.5000, 0.0000) and Au at (0.0000, 0.5000, 0.5000).


First-principles (PBE) data for BaNa2Sr9 after structural relaxation, as listed in Alexandria via LeMat-Bulk.

For the calculated total energy, the calculation gives -19.33 eV/cell. Its crystal system is tetragonal.

The structure belongs to space group P4/mmm (No. 123); the cell edges are 5.9390, 5.9390 and 18.0353 Å and the angles 90.00°, 90.00° and 90.00°. Symmetry generates all atoms from Ba at (0.0000, 0.0000, 0.0000), Na at (0.0000, 0.0000, 0.3370), Sr at (0.0000, 0.5000, 0.1753), Sr at (0.0000, 0.5000, 0.5000), Sr at (0.5000, 0.5000, 0.0000) and Sr at (0.5000, 0.5000, 0.3393).


First-principles (PBE) data for Sm3BiRh after structural relaxation, as listed in Alexandria via LeMat-Bulk.

For the calculated total energy, the calculation gives -56.72 eV/cell. Its crystal system is monoclinic.

The structure belongs to space group P2_1/m (No. 11); the cell edges are 5.9317, 6.9309 and 7.2001 Å and the angles 90.00°, 102.10° and 90.00°. Symmetry generates all atoms from Sm at (0.1403, 0.2500, 0.1251), Sm at (0.3371, 0.0120, 0.7071), Bi at (0.1579, 0.7500, 0.3157) and Rh at (0.3841, 0.7500, 0.9959).


First-principles (PBE) data for Tb2Y7Th after structural relaxation, as listed in Alexandria via LeMat-Bulk.

For the calculated total energy, the calculation gives -61.70 eV/cell. Its crystal system is triclinic.

The structure belongs to space group P-1 (No. 2); the cell edges are 3.5827, 7.9725 and 11.8355 Å and the angles 101.46°, 90.12° and 102.97°. Symmetry generates all atoms from Tb at (0.1962, 0.3911, 0.0989), Y at (0.0000, 0.0000, 0.5000), Y at (0.0977, 0.1973, 0.8029), Y at (0.3011, 0.6015, 0.4009), Y at (0.3991, 0.8003, 0.7018) and Th at (0.5000, 0.0000, 0.0000).


First-principles (PBE) data for TlReRh2 after structural relaxation, as listed in Alexandria via LeMat-Bulk.

For the calculated total energy, the calculation gives -28.06 eV/cell. Its crystal system is orthorhombic.

The structure belongs to space group Pmm2 (No. 25); the cell edges are 2.8452, 3.9214 and 5.9268 Å and the angles 90.00°, 90.00° and 90.00°. Symmetry generates all atoms from Tl at (0.0000, 0.0000, 0.0000), Re at (0.5000, 0.5000, 0.3131), Rh at (0.0000, 0.0000, 0.4941) and Rh at (0.5000, 0.5000, 0.7496).


First-principles (PBE) data for CoNi5H7 after structural relaxation, as listed in Alexandria via LeMat-Bulk.

For the calculated total energy, the calculation gives -118.93 eV/cell. Its crystal system is monoclinic.

The structure belongs to space group P2_1/m (No. 11); the cell edges are 2.6049, 14.4196 and 4.5122 Å and the angles 90.00°, 106.54° and 90.00°. Symmetry generates all atoms from Co at (0.1961, 0.2500, 0.3961), Ni at (0.0000, 0.0000, 0.0000), Ni at (0.2733, 0.5806, 0.5452), Ni at (0.4549, 0.1561, 0.9145), H at (0.0898, 0.1153, 0.1799), H at (0.1811, 0.6848, 0.3619), H at (0.3631, 0.0375, 0.7281) and H at (0.4296, 0.7500, 0.8615).


First-principles (PBE) data for Pr2SiGeRh6 after structural relaxation, as listed in Alexandria via LeMat-Bulk.

Its crystal system is cubic. For the uncorrected formation energy, the calculation gives -5.3 eV/f.u.

The structure belongs to space group Fm-3m (No. 225); the cell edges are 9.1288, 9.1288 and 9.1288 Å and the angles 90.00°, 90.00° and 90.00°. Symmetry generates all atoms from Pr at (0.2500, 0.2500, 0.2500), Si at (0.0000, 0.0000, 0.0000), Ge at (0.0000, 0.0000, 0.5000) and Rh at (0.0000, 0.0000, 0.2451).


First-principles (PBE) data for B3BrF after structural relaxation, as listed in Alexandria via LeMat-Bulk.

Its crystal system is cubic. For the uncorrected formation energy, the calculation gives 12.5 eV/f.u.

The structure belongs to space group Pm-3m (No. 221); the cell edges are 4.3579, 4.3579 and 4.3579 Å and the angles 90.00°, 90.00° and 90.00°. Symmetry generates all atoms from B at (0.0000, 0.0000, 0.5000), Br at (0.0000, 0.0000, 0.0000) and F at (0.5000, 0.5000, 0.5000).


First-principles (PBE) data for Dy4BiRh after structural relaxation, as listed in Alexandria via LeMat-Bulk.

For the calculated total energy, the calculation gives -133.49 eV/cell. Its crystal system is orthorhombic.

The structure belongs to space group Pnma (No. 62); the cell edges are 8.3377, 4.0105 and 19.5552 Å and the angles 90.00°, 90.00° and 90.00°. Symmetry generates all atoms from Dy at (0.0247, 0.2500, 0.0670), Dy at (0.0532, 0.7500, 0.2142), Dy at (0.1270, 0.7500, 0.6473), Dy at (0.1460, 0.7500, 0.4506), Bi at (0.2483, 0.7500, 0.8134) and Rh at (0.2236, 0.2500, 0.5523).


Copy entry 2 word for word.
First-principles (PBE) data for Y4Er3Th5 after structural relaxation, as listed in Alexandria via LeMat-Bulk.

For the calculated total energy, the calculation gives -146.63 eV/cell. Its crystal system is monoclinic.

The structure belongs to space group C2/m (No. 12); the cell edges are 15.9320, 5.9639 and 9.3247 Å and the angles 90.00°, 116.60° and 90.00°. Symmetry generates all atoms from Y at (0.2077, 0.0000, 0.3703), Y at (0.2100, 0.0000, 0.7301), Er at (0.0000, 0.0000, 0.5000), Er at (0.0713, 0.5000, 0.1927), Th at (0.0000, 0.5000, 0.5000), Th at (0.0830, 0.0000, 0.9396) and Th at (0.1710, 0.5000, 0.8836).


What is the formula in the fourth record? BaNa2Sr9